CdFeOs2 | PBE | optimized geometry

a b c (Å): 2.788 2.788 7.915
angles (deg): 90.00 90.00 90.00
Last column: magnetic moment on the atom in μB.
Fractional positions:
Fe1 0.500 0.500 0.769  2.81
Os1 0.500 0.500 0.221  0.08
Os2 0.000 0.000 0.007  0.11
Cd1 0.000 0.000 0.503  -0.02

Calculated values
E_form, eV/f.u.: 1.21
Calculated volume, A^3/atom: 15.38

CdFeOs2 | PBE | optimized geometry

a b c (Å): 4.407 4.407 4.407
angles (deg): 60.00 60.00 60.00
Last column: magnetic moment on the atom in μB.
Fractional positions:
Os1 0.750 0.750 0.750  -0.13
Os2 0.000 0.000 0.000  0.41
Cd1 0.500 0.500 0.500  -0.01
Fe1 0.250 0.250 0.250  2.67

Calculated values
E_form, eV/f.u.: 2.67
Calculated volume, A^3/atom: 15.13

CdFeOs2 | PBE | optimized geometry

a b c (Å): 4.003 3.882 3.882
angles (deg): 90.00 90.00 90.00
Last column: magnetic moment on the atom in μB.
Fractional positions:
Cd1 0.500 0.500 0.000  0.01
Os1 0.000 0.500 0.500  0.57
Os2 0.000 0.000 0.000  0.57
Fe1 0.500 0.000 0.500  2.58

Calculated values
E_form, eV/f.u.: 2.86
Calculated volume, A^3/atom: 15.09